# NaNdPt | the Open Quantum Materials Database | PBE | optimized geometry
data_NaNdPt
_space_group_name_H-M_alt 'F -4 3 m'
_space_group_IT_number 216
_space_group_name_Hall 'F -4 2 3'
_cell_length_a 6.8830
_cell_length_b 6.8830
_cell_length_c 6.8830
_cell_angle_alpha 90.00
_cell_angle_beta 90.00
_cell_angle_gamma 90.00
loop_
_atom_site_label
_atom_site_fract_x
_atom_site_fract_y
_atom_site_fract_z
Na1 0.0000 0.0000 0.0000
Nd1 0.2500 0.2500 0.2500
Pt1 0.0000 0.0000 0.5000
# Total DFT energy (no corrections) (eV/atom): -4.1578

=====

# HfSc2Cu4Si4 | the Open Quantum Materials Database | PBE | optimized geometry
data_HfSc2Cu4Si4
_space_group_name_H-M_alt 'I m m m'
_space_group_IT_number 71
_space_group_name_Hall '-I 2 2'
_cell_length_a 3.9368
_cell_length_b 6.3687
_cell_length_c 13.0001
_cell_angle_alpha 90.00
_cell_angle_beta 90.00
_cell_angle_gamma 90.00
loop_
_atom_site_label
_atom_site_fract_x
_atom_site_fract_y
_atom_site_fract_z
Hf1 0.0000 0.0000 0.0000
Sc1 0.0000 0.5000 0.1254
Cu1 0.0000 0.3063 0.3291
Si1 0.0000 0.0000 0.2163
Si2 0.0000 0.1904 0.5000
# Total DFT energy (no corrections) (eV/atom): -5.9687

=====

# ThCuPd | the Open Quantum Materials Database | PBE | optimized geometry
data_ThCuPd
_space_group_name_H-M_alt 'F -4 3 m'
_space_group_IT_number 216
_space_group_name_Hall 'F -4 2 3'
_cell_length_a 6.5518
_cell_length_b 6.5518
_cell_length_c 6.5518
_cell_angle_alpha 90.00
_cell_angle_beta 90.00
_cell_angle_gamma 90.00
loop_
_atom_site_label
_atom_site_fract_x
_atom_site_fract_y
_atom_site_fract_z
Th1 0.0000 0.0000 0.0000
Cu1 0.0000 0.0000 0.5000
Pd1 0.2500 0.2500 0.7500
# Total DFT energy (no corrections) (eV/atom): -5.7326

=====

# RbBeTeIr | the Open Quantum Materials Database | PBE | optimized geometry
data_RbBeTeIr
_space_group_name_H-M_alt 'F -4 3 m'
_space_group_IT_number 216
_space_group_name_Hall 'F -4 2 3'
_cell_length_a 7.0439
_cell_length_b 7.0439
_cell_length_c 7.0439
_cell_angle_alpha 90.00
_cell_angle_beta 90.00
_cell_angle_gamma 90.00
loop_
_atom_site_label
_atom_site_fract_x
_atom_site_fract_y
_atom_site_fract_z
Rb1 0.0000 0.0000 0.0000
Be1 0.0000 0.0000 0.5000
Te1 0.2500 0.2500 0.2500
Ir1 0.2500 0.2500 0.7500
# Total DFT energy (no corrections) (eV/atom): -3.0001

=====

# BeAlGeIr | the Open Quantum Materials Database | PBE | optimized geometry
data_BeAlGeIr
_space_group_name_H-M_alt 'F -4 3 m'
_space_group_IT_number 216
_space_group_name_Hall 'F -4 2 3'
_cell_length_a 6.0378
_cell_length_b 6.0378
_cell_length_c 6.0378
_cell_angle_alpha 90.00
_cell_angle_beta 90.00
_cell_angle_gamma 90.00
loop_
_atom_site_label
_atom_site_fract_x
_atom_site_fract_y
_atom_site_fract_z
Be1 0.0000 0.0000 0.0000
Al1 0.0000 0.0000 0.5000
Ge1 0.2500 0.2500 0.2500
Ir1 0.2500 0.2500 0.7500
# Total DFT energy (no corrections) (eV/atom): -5.2296

=====

# TaAg2Ir | the Open Quantum Materials Database | PBE | optimized geometry
data_TaAg2Ir
_space_group_name_H-M_alt 'F -4 3 m'
_space_group_IT_number 216
_space_group_name_Hall 'F -4 2 3'
_cell_length_a 6.4360
_cell_length_b 6.4360
_cell_length_c 6.4360
_cell_angle_alpha 90.00
_cell_angle_beta 90.00
_cell_angle_gamma 90.00
loop_
_atom_site_label
_atom_site_fract_x
_atom_site_fract_y
_atom_site_fract_z
Ta1 0.0000 0.0000 0.0000
Ag1 0.0000 0.0000 0.5000
Ag2 0.2500 0.2500 0.7500
Ir1 0.2500 0.2500 0.2500
# Total DFT energy (no corrections) (eV/atom): -6.4165

=====

# PmReGe | the Open Quantum Materials Database | PBE | optimized geometry
data_PmReGe
_space_group_name_H-M_alt 'F -4 3 m'
_space_group_IT_number 216
_space_group_name_Hall 'F -4 2 3'
_cell_length_a 6.4132
_cell_length_b 6.4132
_cell_length_c 6.4132
_cell_angle_alpha 90.00
_cell_angle_beta 90.00
_cell_angle_gamma 90.00
loop_
_atom_site_label
_atom_site_fract_x
_atom_site_fract_y
_atom_site_fract_z
Pm1 0.0000 0.0000 0.0000
Re1 0.0000 0.0000 0.5000
Ge1 0.2500 0.2500 0.2500
# Total DFT energy (no corrections) (eV/atom): -6.9268

=====

# CuTcPd2 | the Open Quantum Materials Database | PBE | optimized geometry
data_CuTcPd2
_space_group_name_H-M_alt 'F -4 3 m'
_space_group_IT_number 216
_space_group_name_Hall 'F -4 2 3'
_cell_length_a 6.1307
_cell_length_b 6.1307
_cell_length_c 6.1307
_cell_angle_alpha 90.00
_cell_angle_beta 90.00
_cell_angle_gamma 90.00
loop_
_atom_site_label
_atom_site_fract_x
_atom_site_fract_y
_atom_site_fract_z
Cu1 0.0000 0.0000 0.0000
Tc1 0.2500 0.2500 0.7500
Pd1 0.0000 0.0000 0.5000
Pd2 0.2500 0.2500 0.2500
# Total DFT energy (no corrections) (eV/atom): -5.8514

=====

| no. | total moment (μB per formula unit) |
| --- | --- |
| 1 | 0.0 |
| 2 | 0.0 |
| 3 | 0.0 |
| 4 | 0.0 |
| 5 | 0.0 |
| 6 | 0.0 |
| 7 | 0.0 |
| 8 | 0.0 |